[1]
Here is a geometry-optimized Tl2GaSn structure from Alexandria via LeMat-Bulk. Energies are from PBE-GGA.

calculated volume	110.1	Å³/f.u.
E_form	0.092	eV/atom

a = 4.748 Å, b = 4.748 Å, c = 4.882 Å
α = 90.00°, β = 90.00°, γ = 90.00°
Space group P4/mmm (No. 123)
Asymmetric unit:
Tl  0.000  0.500  0.000 (multiplicity 2)
Ga  0.000  0.000  0.500 (multiplicity 1)
Sn  0.500  0.500  0.500 (multiplicity 1)

[2]
Here is a geometry-optimized Tl2Ga10Sn structure from Alexandria via LeMat-Bulk. Energies are from PBE-GGA.

calculated volume	332.0	Å³/f.u.
E_form	0.102	eV/atom

a = 5.994 Å, b = 18.034 Å, c = 6.143 Å
α = 90.00°, β = 90.00°, γ = 90.00°
Space group Pbam (No. 55)
Asymmetric unit:
Tl  0.125  0.187  0.000 (multiplicity 4)
Ga  0.042  0.928  0.500 (multiplicity 4)
Ga  0.133  0.385  0.201 (multiplicity 8)
Ga  0.182  0.652  0.500 (multiplicity 4)
Ga  0.236  0.790  0.500 (multiplicity 4)
Sn  0.000  0.500  0.500 (multiplicity 2)